(1)
GGA-PBEsol SiGeIr3, optimized geometry; M_tot = 0.0000 μB per atom; space group = Pm-3m, No. 221; ρ = 13.0 g/cm3; V = 17.29 Å³/atom; relative energy among the computed polymorphs = 0.000 eV/f.u.; uncorrected energy = -7.213 eV/atom
1.0
4.422 0.000 0.000
0.000 4.422 0.000
0.000 0.000 4.422
Si Ge Ir
1 1 3
direct
0.000 0.000 0.000
0.500 0.500 0.500
0.000 0.000 0.500
0.000 0.500 0.000
0.500 0.000 0.000

---

(2)
GGA-PBEsol SiGeIr3, optimized geometry; M_tot = 0.0000 μB per atom; space group = Pm-3m, No. 221; ρ = 12.3 g/cm3; V = 18.35 Å³/atom; relative energy among the computed polymorphs = 2.826 eV/f.u.; uncorrected energy = -6.648 eV/atom
1.0
4.510 0.000 0.000
0.000 4.510 0.000
0.000 0.000 4.510
Si Ge Ir
1 1 3
direct
0.000 0.000 0.000
0.500 0.500 0.500
0.000 0.500 0.500
0.500 0.000 0.500
0.500 0.500 0.000

---

(3)
GGA-PBEsol Si2GeIr, optimized geometry; M_tot = 0.0000 μB per atom; space group = I-42d, No. 122; ρ = 6.6 g/cm3; V = 20.11 Å³/atom; uncorrected energy = -6.497 eV/atom
1.0
5.518 0.000 0.000
0.000 5.518 0.000
0.000 0.000 10.571
Si Ge Ir
8 4 4
direct
0.231 0.250 0.125
0.250 0.731 0.375
0.250 0.769 0.875
0.269 0.250 0.625
0.731 0.750 0.625
0.750 0.231 0.875
0.750 0.269 0.375
0.769 0.750 0.125
0.000 0.000 0.500
0.000 0.500 0.750
0.500 0.000 0.250
0.500 0.500 0.000
0.000 0.000 0.000
0.000 0.500 0.250
0.500 0.000 0.750
0.500 0.500 0.500

---

(4)
GGA-PBEsol Sm4Ge9Ir13, optimized geometry; M_tot = 0.0000 μB per atom; space group = Pmmn, No. 59; ρ = 14.4 g/cm3; V = 16.64 Å³/atom; uncorrected energy = -8.087 eV/atom
1.0
3.987 0.000 0.000
0.000 11.208 0.000
0.000 0.000 19.361
Sm Ge Ir
8 18 26
direct
0.250 0.059 0.208
0.250 0.250 0.022
0.250 0.441 0.208
0.250 0.750 0.520
0.750 0.250 0.480
0.750 0.559 0.792
0.750 0.750 0.978
0.750 0.941 0.792
0.250 0.070 0.416
0.250 0.121 0.731
0.250 0.250 0.601
0.250 0.379 0.731
0.250 0.430 0.416
0.250 0.563 0.919
0.250 0.750 0.100
0.250 0.750 0.733
0.250 0.937 0.919
0.750 0.063 0.081
0.750 0.250 0.267
0.750 0.250 0.900
0.750 0.437 0.081
0.750 0.570 0.584
0.750 0.621 0.269
0.750 0.750 0.399
0.750 0.879 0.269
0.750 0.930 0.584
0.250 0.058 0.540
0.250 0.128 0.858
0.250 0.250 0.343
0.250 0.372 0.858
0.250 0.442 0.540
0.250 0.549 0.047
0.250 0.566 0.664
0.250 0.623 0.355
0.250 0.750 0.227
0.250 0.750 0.858
0.250 0.877 0.355
0.250 0.934 0.664
0.250 0.951 0.047
0.750 0.049 0.953
0.750 0.066 0.336
0.750 0.123 0.645
0.750 0.250 0.142
0.750 0.250 0.773
0.750 0.377 0.645
0.750 0.434 0.336
0.750 0.451 0.953
0.750 0.558 0.460
0.750 0.628 0.142
0.750 0.750 0.657
0.750 0.872 0.142
0.750 0.942 0.460

---

(5)
GGA-PBEsol Sm3Ge13Ir4, optimized geometry; M_tot = 0.0000 μB per atom; space group = Pm-3n, No. 223; ρ = 9.9 g/cm3; V = 18.10 Å³/atom; uncorrected energy = -6.511 eV/atom
1.0
8.980 0.000 0.000
0.000 8.980 0.000
0.000 0.000 8.980
Sm Ge Ir
6 26 8
direct
0.000 0.250 0.500
0.000 0.750 0.500
0.250 0.500 0.000
0.500 0.000 0.250
0.500 0.000 0.750
0.750 0.500 0.000
0.000 0.000 0.000
0.000 0.305 0.145
0.000 0.305 0.855
0.000 0.695 0.145
0.000 0.695 0.855
0.145 0.000 0.305
0.145 0.000 0.695
0.195 0.500 0.355
0.195 0.500 0.645
0.305 0.145 0.000
0.305 0.855 0.000
0.355 0.195 0.500
0.355 0.805 0.500
0.500 0.355 0.195
0.500 0.355 0.805
0.500 0.500 0.500
0.500 0.645 0.195
0.500 0.645 0.805
0.645 0.195 0.500
0.645 0.805 0.500
0.695 0.145 0.000
0.695 0.855 0.000
0.805 0.500 0.355
0.805 0.500 0.645
0.855 0.000 0.305
0.855 0.000 0.695
0.250 0.250 0.250
0.250 0.250 0.750
0.250 0.750 0.250
0.250 0.750 0.750
0.750 0.250 0.250
0.750 0.250 0.750
0.750 0.750 0.250
0.750 0.750 0.750

---

(6)
GGA-PBEsol SmGeIr, optimized geometry; M_tot = 0.0000 μB per atom; space group = Pnma, No. 62; ρ = 12.1 g/cm3; V = 19.06 Å³/atom; uncorrected energy = -7.503 eV/atom
1.0
6.997 0.000 0.000
0.000 4.391 0.000
0.000 0.000 7.446
Sm Ge Ir
4 4 4
direct
0.014 0.250 0.197
0.486 0.750 0.697
0.514 0.250 0.303
0.986 0.750 0.803
0.179 0.250 0.585
0.321 0.750 0.085
0.679 0.250 0.915
0.821 0.750 0.415
0.200 0.750 0.410
0.300 0.250 0.910
0.700 0.750 0.090
0.800 0.250 0.590

---

(7)
GGA-PBEsol SrGe3Ir, optimized geometry; M_tot = 0.0000 μB per atom; space group = I4mm, No. 107; ρ = 8.3 g/cm3; V = 19.90 Å³/atom; uncorrected energy = -5.880 eV/atom
1.0
4.446 0.000 0.000
0.000 4.446 0.000
0.000 0.000 10.067
Sr Ge Ir
2 6 2
direct
0.000 0.000 0.000
0.500 0.500 0.500
0.000 0.000 0.588
0.000 0.500 0.246
0.000 0.500 0.746
0.500 0.000 0.246
0.500 0.000 0.746
0.500 0.500 0.088
0.000 0.000 0.351
0.500 0.500 0.851

---

(8)
GGA-PBEsol SrGe2Ir2, optimized geometry; M_tot = 0.0000 μB per atom; space group = I4/mmm, No. 139; ρ = 11.0 g/cm3; V = 18.63 Å³/atom; uncorrected energy = -6.932 eV/atom
1.0
4.177 0.000 0.000
0.000 4.177 0.000
0.000 0.000 10.678
Sr Ge Ir
2 4 4
direct
0.000 0.000 0.000
0.500 0.500 0.500
0.000 0.000 0.371
0.000 0.000 0.629
0.500 0.500 0.129
0.500 0.500 0.871
0.000 0.500 0.250
0.000 0.500 0.750
0.500 0.000 0.250
0.500 0.000 0.750

---

(9)
GGA-PBEsol SrTl2GeIr, optimized geometry; M_tot = 0.1233 μB per atom; space group = P4/mmm, No. 123; ρ = 8.4 g/cm3; V = 30.23 Å³/atom; uncorrected energy = -3.423 eV/atom
1.0
5.094 0.000 0.000
0.000 5.094 0.000
0.000 0.000 5.825
Sr Tl Ge Ir
1 2 1 1
direct
0.000 0.000 0.000
0.000 0.500 0.500
0.500 0.000 0.500
0.000 0.000 0.500
0.500 0.500 0.000

---

(10)
GGA-PBEsol TaGe3Ir, optimized geometry; M_tot = 0.0119 μB per atom; space group = Pm-3m, No. 221; ρ = 8.6 g/cm3; V = 22.71 Å³/atom; uncorrected energy = -6.044 eV/atom
1.0
4.842 0.000 0.000
0.000 4.842 0.000
0.000 0.000 4.842
Ta Ge Ir
1 3 1
direct
0.000 0.000 0.000
0.000 0.000 0.500
0.000 0.500 0.000
0.500 0.000 0.000
0.500 0.500 0.500

---

(11)
GGA-PBEsol TaGe3Ir, optimized geometry; M_tot = 0.4567 μB per atom; space group = Pm-3m, No. 221; ρ = 9.4 g/cm3; V = 20.77 Å³/atom; uncorrected energy = -6.401 eV/atom
1.0
4.701 0.000 0.000
0.000 4.701 0.000
0.000 0.000 4.701
Ta Ge Ir
1 3 1
direct
0.000 0.000 0.000
0.000 0.500 0.500
0.500 0.000 0.500
0.500 0.500 0.000
0.500 0.500 0.500

---

(12)
GGA-PBEsol Tb3Ge13Ir4, optimized geometry; M_tot = 0.0000 μB per atom; space group = Pm-3n, No. 223; ρ = 10.2 g/cm3; V = 17.81 Å³/atom; uncorrected energy = -6.500 eV/atom
1.0
8.931 0.000 0.000
0.000 8.931 0.000
0.000 0.000 8.931
Tb Ge Ir
6 26 8
direct
0.000 0.250 0.500
0.000 0.750 0.500
0.250 0.500 0.000
0.500 0.000 0.250
0.500 0.000 0.750
0.750 0.500 0.000
0.000 0.000 0.000
0.000 0.307 0.145
0.000 0.307 0.855
0.000 0.693 0.145
0.000 0.693 0.855
0.145 0.000 0.307
0.145 0.000 0.693
0.193 0.500 0.355
0.193 0.500 0.645
0.307 0.145 0.000
0.307 0.855 0.000
0.355 0.193 0.500
0.355 0.807 0.500
0.500 0.355 0.193
0.500 0.355 0.807
0.500 0.500 0.500
0.500 0.645 0.193
0.500 0.645 0.807
0.645 0.193 0.500
0.645 0.807 0.500
0.693 0.145 0.000
0.693 0.855 0.000
0.807 0.500 0.355
0.807 0.500 0.645
0.855 0.000 0.307
0.855 0.000 0.693
0.250 0.250 0.250
0.250 0.250 0.750
0.250 0.750 0.250
0.250 0.750 0.750
0.750 0.250 0.250
0.750 0.250 0.750
0.750 0.750 0.250
0.750 0.750 0.750